Record 1
Material: MgCuSnIr
Method: DFT, PBE-GGA
State: optimized geometry

```
MgCuSnIr
1.0
6.394 0.000 0.000
0.000 6.394 0.000
0.000 0.000 6.394
Mg Cu Sn Ir
4 4 4 4
Direct
0.000 0.000 0.000 Mg
0.000 0.500 0.500 Mg
0.500 0.000 0.500 Mg
0.500 0.500 0.000 Mg
0.250 0.250 0.750 Cu
0.250 0.750 0.250 Cu
0.750 0.250 0.250 Cu
0.750 0.750 0.750 Cu
0.000 0.000 0.500 Sn
0.000 0.500 0.000 Sn
0.500 0.000 0.000 Sn
0.500 0.500 0.500 Sn
0.250 0.250 0.250 Ir
0.250 0.750 0.750 Ir
0.750 0.250 0.750 Ir
0.750 0.750 0.250 Ir
```

Computed properties:
Total DFT energy (no corrections), eV/atom: -4.834
Total magnetization, μB/f.u.: 0.00
Space group: F-43m
Formation energy from the elements, eV per atom: -0.1951

---

Record 2
Material: MgCuSn2Ir
Method: DFT, PBE-GGA
State: optimized geometry

```
MgCuSn2Ir
1.0
5.074 0.000 0.000
0.000 5.074 0.000
0.000 0.000 4.957
Mg Cu Sn Ir
1 1 2 1
Direct
0.000 0.000 0.000 Mg
0.500 0.500 0.000 Cu
0.000 0.500 0.500 Sn
0.500 0.000 0.500 Sn
0.500 0.500 0.500 Ir
```

Computed properties:
Total DFT energy (no corrections), eV/atom: -4.236
Total magnetization, μB/f.u.: 0.00
Energy above the lowest structure with this stoichiometry, meV per atom: 0
Space group: P4/mmm
Formation energy from the elements, eV per atom: 0.2758

---

Record 3
Material: MgTaCuIr
Method: DFT, PBE-GGA
State: optimized geometry

```
MgTaCuIr
1.0
6.282 0.000 0.000
0.000 6.282 0.000
0.000 0.000 6.282
Mg Ta Cu Ir
4 4 4 4
Direct
0.000 0.000 0.000 Mg
0.000 0.500 0.500 Mg
0.500 0.000 0.500 Mg
0.500 0.500 0.000 Mg
0.000 0.000 0.500 Ta
0.000 0.500 0.000 Ta
0.500 0.000 0.000 Ta
0.500 0.500 0.500 Ta
0.250 0.250 0.750 Cu
0.250 0.750 0.250 Cu
0.750 0.250 0.250 Cu
0.750 0.750 0.750 Cu
0.250 0.250 0.250 Ir
0.250 0.750 0.750 Ir
0.750 0.250 0.750 Ir
0.750 0.750 0.250 Ir
```

Computed properties:
Total DFT energy (no corrections), eV/atom: -6.876
Total magnetization, μB/f.u.: 0.00
Space group: F-43m
Formation energy from the elements, eV per atom: -0.2754

---

Record 4
Material: TbMgCuIr
Method: DFT, PBE-GGA
State: optimized geometry

```
TbMgCuIr
1.0
6.647 0.000 0.000
0.000 6.647 0.000
0.000 0.000 6.647
Tb Mg Cu Ir
4 4 4 4
Direct
0.000 0.000 0.000 Tb
0.000 0.500 0.500 Tb
0.500 0.000 0.500 Tb
0.500 0.500 0.000 Tb
0.000 0.000 0.500 Mg
0.000 0.500 0.000 Mg
0.500 0.000 0.000 Mg
0.500 0.500 0.500 Mg
0.250 0.250 0.750 Cu
0.250 0.750 0.250 Cu
0.750 0.250 0.250 Cu
0.750 0.750 0.750 Cu
0.250 0.250 0.250 Ir
0.250 0.750 0.750 Ir
0.750 0.250 0.750 Ir
0.750 0.750 0.250 Ir
```

Computed properties:
Total DFT energy (no corrections), eV/atom: -5.197
Total magnetization, μB/f.u.: 0.00
Space group: F-43m
Formation energy from the elements, eV per atom: -0.4013

---

Record 5
Material: MgTiCuIr
Method: DFT, PBE-GGA
State: optimized geometry

```
MgTiCuIr
1.0
6.202 0.000 0.000
0.000 6.202 0.000
0.000 0.000 6.202
Mg Ti Cu Ir
4 4 4 4
Direct
0.000 0.000 0.000 Mg
0.000 0.500 0.500 Mg
0.500 0.000 0.500 Mg
0.500 0.500 0.000 Mg
0.000 0.000 0.500 Ti
0.000 0.500 0.000 Ti
0.500 0.000 0.000 Ti
0.500 0.500 0.500 Ti
0.250 0.250 0.750 Cu
0.250 0.750 0.250 Cu
0.750 0.250 0.250 Cu
0.750 0.750 0.750 Cu
0.250 0.250 0.250 Ir
0.250 0.750 0.750 Ir
0.750 0.250 0.750 Ir
0.750 0.750 0.250 Ir
```

Computed properties:
Total DFT energy (no corrections), eV/atom: -6.035
Total magnetization, μB/f.u.: 0.00
Space group: F-43m
Formation energy from the elements, eV per atom: -0.4229

---

Record 6
Material: TmMgCuIr
Method: DFT, PBE-GGA
State: optimized geometry

```
TmMgCuIr
1.0
6.569 0.000 0.000
0.000 6.569 0.000
0.000 0.000 6.569
Tm Mg Cu Ir
4 4 4 4
Direct
0.000 0.000 0.000 Tm
0.000 0.500 0.500 Tm
0.500 0.000 0.500 Tm
0.500 0.500 0.000 Tm
0.000 0.000 0.500 Mg
0.000 0.500 0.000 Mg
0.500 0.000 0.000 Mg
0.500 0.500 0.500 Mg
0.250 0.250 0.750 Cu
0.250 0.750 0.250 Cu
0.750 0.250 0.250 Cu
0.750 0.750 0.750 Cu
0.250 0.250 0.250 Ir
0.250 0.750 0.750 Ir
0.750 0.250 0.750 Ir
0.750 0.750 0.250 Ir
```

Computed properties:
Total DFT energy (no corrections), eV/atom: -5.220
Total magnetization, μB/f.u.: 0.00
Space group: F-43m
Formation energy from the elements, eV per atom: -0.4641

---

Record 7
Material: MgUCuIr
Method: DFT, PBE-GGA
State: optimized geometry

```
MgUCuIr
1.0
6.614 0.000 0.000
0.000 6.614 0.000
0.000 0.000 6.614
Mg U Cu Ir
4 4 4 4
Direct
0.000 0.000 0.000 Mg
0.000 0.500 0.500 Mg
0.500 0.000 0.500 Mg
0.500 0.500 0.000 Mg
0.000 0.000 0.500 U
0.000 0.500 0.000 U
0.500 0.000 0.000 U
0.500 0.500 0.500 U
0.250 0.250 0.750 Cu
0.250 0.750 0.250 Cu
0.750 0.250 0.250 Cu
0.750 0.750 0.750 Cu
0.250 0.250 0.250 Ir
0.250 0.750 0.750 Ir
0.750 0.250 0.750 Ir
0.750 0.750 0.250 Ir
```

Computed properties:
Total DFT energy (no corrections), eV/atom: -6.587
Total magnetization, μB/f.u.: 1.54
Space group: F-43m
Formation energy from the elements, eV per atom: -0.1274

---

Record 8
Material: MgCuIr2W
Method: DFT, PBE-GGA
State: optimized geometry

```
MgCuIr2W
1.0
4.761 0.000 0.000
0.000 4.761 0.000
0.000 0.000 4.711
Mg Cu Ir W
1 1 2 1
Direct
0.000 0.000 0.000 Mg
0.500 0.500 0.000 Cu
0.000 0.500 0.500 Ir
0.500 0.000 0.500 Ir
0.500 0.500 0.500 W
```

Computed properties:
Total DFT energy (no corrections), eV/atom: -6.099
Total magnetization, μB/f.u.: 0.00
Space group: P4/mmm
Formation energy from the elements, eV per atom: 1.1746

---

Record 9
Material: MgCuIrW
Method: DFT, PBE-GGA
State: optimized geometry

```
MgCuIrW
1.0
6.198 0.000 0.000
0.000 6.198 0.000
0.000 0.000 6.198
Mg Cu Ir W
4 4 4 4
Direct
0.000 0.000 0.000 Mg
0.000 0.500 0.500 Mg
0.500 0.000 0.500 Mg
0.500 0.500 0.000 Mg
0.250 0.250 0.750 Cu
0.250 0.750 0.250 Cu
0.750 0.250 0.250 Cu
0.750 0.750 0.750 Cu
0.250 0.250 0.250 Ir
0.250 0.750 0.750 Ir
0.750 0.250 0.750 Ir
0.750 0.750 0.250 Ir
0.000 0.000 0.500 W
0.000 0.500 0.000 W
0.500 0.000 0.000 W
0.500 0.500 0.500 W
```

Computed properties:
Total DFT energy (no corrections), eV/atom: -6.900
Total magnetization, μB/f.u.: 0.00
Space group: F-43m
Formation energy from the elements, eV per atom: -0.0239

---

Record 10
Material: YMgCuIr
Method: DFT, PBE-GGA
State: optimized geometry

```
YMgCuIr
1.0
6.642 0.000 0.000
0.000 6.642 0.000
0.000 0.000 6.642
Y Mg Cu Ir
4 4 4 4
Direct
0.000 0.000 0.000 Y
0.000 0.500 0.500 Y
0.500 0.000 0.500 Y
0.500 0.500 0.000 Y
0.000 0.000 0.500 Mg
0.000 0.500 0.000 Mg
0.500 0.000 0.000 Mg
0.500 0.500 0.500 Mg
0.250 0.250 0.250 Cu
0.250 0.750 0.750 Cu
0.750 0.250 0.750 Cu
0.750 0.750 0.250 Cu
0.250 0.250 0.750 Ir
0.250 0.750 0.250 Ir
0.750 0.250 0.250 Ir
0.750 0.750 0.750 Ir
```

Computed properties:
Total DFT energy (no corrections), eV/atom: -5.655
Total magnetization, μB/f.u.: 0.00
Space group: F-43m
Formation energy from the elements, eV per atom: -0.4015

---

Record 11
Material: MnCuIr2
Method: DFT, PBE-GGA
State: optimized geometry

```
MnCuIr2
1.0
8.658 0.000 0.000
0.000 2.743 0.000
-0.902 0.000 4.603
Mn Cu Ir
2 2 4
Direct
0.000 0.000 0.000 Mn
0.500 0.500 0.000 Mn
0.000 0.500 0.500 Cu
0.500 0.000 0.500 Cu
0.246 0.500 0.250 Ir
0.254 0.000 0.750 Ir
0.746 0.000 0.250 Ir
0.754 0.500 0.750 Ir
```

Computed properties:
Total DFT energy (no corrections), eV/atom: -7.797
Total magnetization, μB/f.u.: 3.18
Space group: C2/m
Formation energy from the elements, eV per atom: -0.0505

---

Record 12
Material: MnCuIr2
Method: DFT, PBE-GGA
State: optimized geometry

```
MnCuIr2
1.0
5.975 0.000 0.000
0.000 5.975 0.000
0.000 0.000 5.975
Mn Cu Ir
4 4 8
Direct
0.000 0.000 0.000 Mn
0.000 0.500 0.500 Mn
0.500 0.000 0.500 Mn
0.500 0.500 0.000 Mn
0.000 0.000 0.500 Cu
0.000 0.500 0.000 Cu
0.500 0.000 0.000 Cu
0.500 0.500 0.500 Cu
0.250 0.250 0.250 Ir
0.250 0.250 0.750 Ir
0.250 0.750 0.250 Ir
0.250 0.750 0.750 Ir
0.750 0.250 0.250 Ir
0.750 0.250 0.750 Ir
0.750 0.750 0.250 Ir
0.750 0.750 0.750 Ir
```

Computed properties:
Total DFT energy (no corrections), eV/atom: -7.750
Total magnetization, μB/f.u.: 2.24
Space group: Fm-3m
Formation energy from the elements, eV per atom: -0.0035